Here is crystalline Tb2Sm4Th at its relaxed geometry from the Alexandria database. Energies are from PBE. Values from VASP.

Values from the calculation:
- Energy of formation from the pure elements: 0.298 eV/atom
- VASP energy: -66.9 eV for the cell shown
- Distance to the lowest polymorph of the same formula: 263 meV/atom
- Volume: 238 Å³/f.u.
- SG: No. 74

```
&SYSTEM
  ibrav = 0, nat = 14, ntyp = 3
/
ATOMIC_SPECIES
Tb 158.93 Tb.upf
Sm 150.36 Sm.upf
Th 232.04 Th.upf
ATOMIC_POSITIONS crystal
Tb 0.2779 0.9721 0.4721
Tb 0.5000 0.0000 0.0000
Tb 0.5000 0.5000 0.5000
Tb 0.7221 0.0279 0.5279
Sm 0.1506 0.3538 0.3450
Sm 0.1506 0.8450 0.8538
Sm 0.2368 0.2380 0.7380
Sm 0.7872 0.2380 0.7380
Sm 0.2128 0.7620 0.2620
Sm 0.8494 0.1550 0.1462
Sm 0.7632 0.7620 0.2620
Sm 0.8494 0.6462 0.6550
Th 0.0000 0.5000 0.0000
Th 0.5000 0.5000 0.0000
CELL_PARAMETERS angstrom
6.7330 0.0000 0.0000
3.3665 8.3290 -1.1769
3.3665 1.5985 8.2585
```